DFT (PBE-GGA) results for an optimized crystal structure of LaCdAu3.

## Properties
Polymorph energy (0 for the lowest one) ... 0.39 eV per formula unit
Total magnetic moment ... 0.00 μB/atom
Symmetry ... C2/m, No. 12
ΔH_f (0 K) ... -471 meV/atom
Total DFT energy (no corrections) ... -3.61 eV/atom

Lattice parameters (Å, degrees): 5.135 5.243 9.681 105.71 105.08 90.00
Fractional coordinates of all 10 atoms:
La (0.135, 0.386, 0.773)
La (0.865, 0.614, 0.227)
Cd (0.380, 0.128, 0.256)
Cd (0.620, 0.872, 0.744)
Au (0.780, 0.031, 0.061)
Au (0.220, 0.969, 0.939)
Au (0.455, 0.705, 0.411)
Au (0.545, 0.295, 0.589)
Au (0.038, 0.790, 0.580)
Au (0.962, 0.210, 0.420)